Material: Li3Al3Ir2
Method: DFT, GGA-PBE
State: optimized geometry

Output
Electronic total energy in eV per atom: -4.960

Cell and atoms, written as CIF:
```
data_Li3Al3Ir2
_chemical_formula_sum 'Li9 Al9 Ir6'
_space_group_name_H-M_alt 'R 3 m'
_space_group_IT_number 160
_space_group_name_Hall 'R 3 -2"'
_cell_length_a 4.2633
_cell_length_b 4.2633
_cell_length_c 20.8660
_cell_angle_alpha 90.00
_cell_angle_beta 90.00
_cell_angle_gamma 120.00
loop_
_atom_site_label
_atom_site_fract_x
_atom_site_fract_y
_atom_site_fract_z
Li1 0.0000 0.0000 0.0000
Li2 0.0000 0.0000 0.1238
Li3 0.0000 0.0000 0.6279
Al1 0.0000 0.0000 0.2521
Al2 0.0000 0.0000 0.5025
Al3 0.0000 0.0000 0.7491
Ir1 0.0000 0.0000 0.3796
Ir2 0.0000 0.0000 0.8732
```

***

Material: LiAlIr3
Method: DFT, GGA-PBE
State: optimized geometry

Output
Electronic total energy in eV per atom: -5.889

Cell and atoms, written as CIF:
```
data_LiAlIr3
_chemical_formula_sum 'Li1 Al1 Ir3'
_space_group_name_H-M_alt 'P m -3 m'
_space_group_IT_number 221
_space_group_name_Hall '-P 4 2 3'
_cell_length_a 4.122
_cell_length_b 4.122
_cell_length_c 4.122
_cell_angle_alpha 90.00
_cell_angle_beta 90.00
_cell_angle_gamma 90.00
loop_
_atom_site_label
_atom_site_fract_x
_atom_site_fract_y
_atom_site_fract_z
Li1 0.000 0.000 0.000
Al1 0.500 0.500 0.500
Ir1 0.000 0.000 0.500
```

***

Material: LiAlIr2
Method: DFT, GGA-PBE
State: optimized geometry

Output
Electronic total energy in eV per atom: -6.182

Cell and atoms, written as CIF:
```
data_LiAlIr2
_chemical_formula_sum 'Li2 Al2 Ir4'
_space_group_name_H-M_alt 'A m m 2'
_space_group_IT_number 38
_cell_length_a 4.104
_cell_length_b 2.701
_cell_length_c 9.690
_cell_angle_alpha 90.00
_cell_angle_beta 90.00
_cell_angle_gamma 90.00
loop_
_space_group_symop_operation_xyz
'x,y,z'
'-x,-y,z'
'-x,y,z'
'x,-y,z'
'x,y+1/2,z+1/2'
'-x,-y+1/2,z+1/2'
'-x,y+1/2,z+1/2'
'x,-y+1/2,z+1/2'
loop_
_atom_site_label
_atom_site_fract_x
_atom_site_fract_y
_atom_site_fract_z
Li1 0.000 0.000 0.000
Al1 0.500 0.000 0.139
Ir1 0.000 0.000 0.746
Ir2 0.500 0.000 0.404
```

***

Material: LiAlIr2
Method: DFT, GGA-PBE
State: optimized geometry

Output
Electronic total energy in eV per atom: -6.189

Cell and atoms, written as CIF:
```
data_LiAlIr2
_chemical_formula_sum 'Li2 Al2 Ir4'
_space_group_name_H-M_alt 'C m m m'
_space_group_IT_number 65
_space_group_name_Hall '-C 2 2'
_cell_length_a 2.947
_cell_length_b 4.680
_cell_length_c 8.263
_cell_angle_alpha 90.00
_cell_angle_beta 90.00
_cell_angle_gamma 90.00
loop_
_atom_site_label
_atom_site_fract_x
_atom_site_fract_y
_atom_site_fract_z
Li1 0.000 0.000 0.000
Al1 0.000 0.000 0.500
Ir1 0.000 0.500 0.263
```

***

Material: LiLuAlIr
Method: DFT, GGA-PBE
State: optimized geometry

Output
Electronic total energy in eV per atom: -5.420

Cell and atoms, written as CIF:
```
data_LiLuAlIr
_chemical_formula_sum 'Li4 Lu4 Al4 Ir4'
_space_group_name_H-M_alt 'F -4 3 m'
_space_group_IT_number 216
_space_group_name_Hall 'F -4 2 3'
_cell_length_a 6.452
_cell_length_b 6.452
_cell_length_c 6.452
_cell_angle_alpha 90.00
_cell_angle_beta 90.00
_cell_angle_gamma 90.00
loop_
_atom_site_label
_atom_site_fract_x
_atom_site_fract_y
_atom_site_fract_z
Li1 0.000 0.000 0.000
Lu1 0.250 0.250 0.250
Al1 0.250 0.250 0.750
Ir1 0.000 0.000 0.500
```

***

Material: LiAl2MoIr
Method: DFT, GGA-PBE
State: optimized geometry

Output
Electronic total energy in eV per atom: -5.180

Cell and atoms, written as CIF:
```
data_LiAl2MoIr
_chemical_formula_sum 'Li1 Al2 Mo1 Ir1'
_space_group_name_H-M_alt 'P 4/m m m'
_space_group_IT_number 123
_space_group_name_Hall '-P 4 2'
_cell_length_a 4.891
_cell_length_b 4.891
_cell_length_c 4.714
_cell_angle_alpha 90.00
_cell_angle_beta 90.00
_cell_angle_gamma 90.00
loop_
_atom_site_label
_atom_site_fract_x
_atom_site_fract_y
_atom_site_fract_z
Li1 0.000 0.000 0.000
Al1 0.000 0.500 0.500
Mo1 0.500 0.500 0.500
Ir1 0.500 0.500 0.000
```

***

Material: LiNdAlIr
Method: DFT, GGA-PBE
State: optimized geometry

Output
Electronic total energy in eV per atom: -5.276

Cell and atoms, written as CIF:
```
data_LiNdAlIr
_chemical_formula_sum 'Li4 Nd4 Al4 Ir4'
_space_group_name_H-M_alt 'F -4 3 m'
_space_group_IT_number 216
_space_group_name_Hall 'F -4 2 3'
_cell_length_a 6.682
_cell_length_b 6.682
_cell_length_c 6.682
_cell_angle_alpha 90.00
_cell_angle_beta 90.00
_cell_angle_gamma 90.00
loop_
_atom_site_label
_atom_site_fract_x
_atom_site_fract_y
_atom_site_fract_z
Li1 0.000 0.000 0.000
Nd1 0.250 0.250 0.250
Al1 0.250 0.250 0.750
Ir1 0.000 0.000 0.500
```

***

Material: LiAlIrO4
Method: DFT, GGA-PBE
State: optimized geometry

Output
Energy relative to the elements, uncorrected in eV/atom: -1.808
Electronic total energy in eV per atom: -6.715

Cell and atoms, written as CIF:
```
data_LiAlIrO4
_chemical_formula_sum 'Li4 Al4 Ir4 O16'
_space_group_name_H-M_alt 'I m m a'
_space_group_IT_number 74
_space_group_name_Hall '-I 2b 2'
_cell_length_a 5.566
_cell_length_b 5.841
_cell_length_c 8.820
_cell_angle_alpha 90.00
_cell_angle_beta 90.00
_cell_angle_gamma 90.00
loop_
_atom_site_label
_atom_site_fract_x
_atom_site_fract_y
_atom_site_fract_z
Li1 0.000 0.250 0.122
Al1 0.000 0.000 0.500
Ir1 0.250 0.250 0.750
O1 0.000 0.004 0.281
O2 0.225 0.250 0.517
```

***

Material: LiPaAlIr
Method: DFT, GGA-PBE
State: optimized geometry

Output
Electronic total energy in eV per atom: -6.502

Cell and atoms, written as CIF:
```
data_LiPaAlIr
_chemical_formula_sum 'Li4 Pa4 Al4 Ir4'
_space_group_name_H-M_alt 'F -4 3 m'
_space_group_IT_number 216
_space_group_name_Hall 'F -4 2 3'
_cell_length_a 6.583
_cell_length_b 6.583
_cell_length_c 6.583
_cell_angle_alpha 90.00
_cell_angle_beta 90.00
_cell_angle_gamma 90.00
loop_
_atom_site_label
_atom_site_fract_x
_atom_site_fract_y
_atom_site_fract_z
Li1 0.000 0.000 0.000
Pa1 0.250 0.250 0.750
Al1 0.250 0.250 0.250
Ir1 0.000 0.000 0.500
```

***

Material: Li2AlIrPd
Method: DFT, GGA-PBE
State: optimized geometry

Output
Electronic total energy in eV per atom: -3.799

Cell and atoms, written as CIF:
```
data_Li2AlIrPd
_chemical_formula_sum 'Li2 Al1 Ir1 Pd1'
_space_group_name_H-M_alt 'P 4/m m m'
_space_group_IT_number 123
_space_group_name_Hall '-P 4 2'
_cell_length_a 4.467
_cell_length_b 4.467
_cell_length_c 4.487
_cell_angle_alpha 90.00
_cell_angle_beta 90.00
_cell_angle_gamma 90.00
loop_
_atom_site_label
_atom_site_fract_x
_atom_site_fract_y
_atom_site_fract_z
Li1 0.000 0.500 0.000
Al1 0.000 0.000 0.000
Ir1 0.000 0.000 0.500
Pd1 0.500 0.500 0.500
```

***

Material: Li2AlIrPt
Method: DFT, GGA-PBE
State: optimized geometry

Output
Electronic total energy in eV per atom: -4.102

Cell and atoms, written as CIF:
```
data_Li2AlIrPt
_chemical_formula_sum 'Li2 Al1 Ir1 Pt1'
_space_group_name_H-M_alt 'P 4/m m m'
_space_group_IT_number 123
_space_group_name_Hall '-P 4 2'
_cell_length_a 4.286
_cell_length_b 4.286
_cell_length_c 4.709
_cell_angle_alpha 90.00
_cell_angle_beta 90.00
_cell_angle_gamma 90.00
loop_
_atom_site_label
_atom_site_fract_x
_atom_site_fract_y
_atom_site_fract_z
Li1 0.000 0.500 0.000
Al1 0.000 0.000 0.500
Ir1 0.500 0.500 0.500
Pt1 0.000 0.000 0.000
```

***

Material: LiPuAlIr
Method: DFT, GGA-PBE
State: optimized geometry

Output
Electronic total energy in eV per atom: -7.588

Cell and atoms, written as CIF:
```
data_LiPuAlIr
_chemical_formula_sum 'Li4 Pu4 Al4 Ir4'
_space_group_name_H-M_alt 'F -4 3 m'
_space_group_IT_number 216
_space_group_name_Hall 'F -4 2 3'
_cell_length_a 6.557
_cell_length_b 6.557
_cell_length_c 6.557
_cell_angle_alpha 90.00
_cell_angle_beta 90.00
_cell_angle_gamma 90.00
loop_
_atom_site_label
_atom_site_fract_x
_atom_site_fract_y
_atom_site_fract_z
Li1 0.000 0.000 0.000
Pu1 0.250 0.250 0.750
Al1 0.250 0.250 0.250
Ir1 0.000 0.000 0.500
```

***

Material: LiAlIrRh
Method: DFT, GGA-PBE
State: optimized geometry

Output
Electronic total energy in eV per atom: -6.066

Cell and atoms, written as CIF:
```
data_LiAlIrRh
_chemical_formula_sum 'Li4 Al4 Ir4 Rh4'
_space_group_name_H-M_alt 'F -4 3 m'
_space_group_IT_number 216
_space_group_name_Hall 'F -4 2 3'
_cell_length_a 5.927
_cell_length_b 5.927
_cell_length_c 5.927
_cell_angle_alpha 90.00
_cell_angle_beta 90.00
_cell_angle_gamma 90.00
loop_
_atom_site_label
_atom_site_fract_x
_atom_site_fract_y
_atom_site_fract_z
Li1 0.000 0.000 0.000
Al1 0.000 0.000 0.500
Ir1 0.250 0.250 0.750
Rh1 0.250 0.250 0.250
```

***

Material: LiAlIrS2
Method: DFT, GGA-PBE
State: optimized geometry

Output
Energy relative to the elements, uncorrected in eV/atom: 0.680
Electronic total energy in eV per atom: -3.875

Cell and atoms, written as CIF:
```
data_LiAlIrS2
_chemical_formula_sum 'Li1 Al1 Ir1 S2'
_space_group_name_H-M_alt 'P 4/m m m'
_space_group_IT_number 123
_space_group_name_Hall '-P 4 2'
_cell_length_a 4.227
_cell_length_b 4.227
_cell_length_c 4.420
_cell_angle_alpha 90.00
_cell_angle_beta 90.00
_cell_angle_gamma 90.00
loop_
_atom_site_label
_atom_site_fract_x
_atom_site_fract_y
_atom_site_fract_z
Li1 0.000 0.000 0.000
Al1 0.500 0.500 0.500
Ir1 0.000 0.000 0.500
S1 0.000 0.500 0.000
```

***

In the order shown, the computed V values come out to 13.7; 14.0; 13.4; 14.2; 16.8; 22.6; 18.6; 10.2; 17.8; 17.9; 17.3; 17.6; 13.0; 15.8 A^3/atom.